Run A
TmCdB: relaxed, PBE.

Values from the calculation:
Its total magnetization is 0.0 μB per formula unit.

Cell lengths 6.0505, 6.0505, 6.0505 Å; angles 90.00, 90.00, 90.00 degrees
Space group F-43m (No. 216)
Asymmetric unit:
1 Tm 0.0000 0.0000 0.0000 (multiplicity 4)
2 Cd 0.0000 0.0000 0.5000 (multiplicity 4)
3 B 0.2500 0.2500 0.7500 (multiplicity 4)

Run B
TmCdB: relaxed, PBE.

Values from the calculation:
Its total magnetization is 0.0 μB per formula unit.

Cell lengths 6.4129, 6.4129, 6.4129 Å; angles 90.00, 90.00, 90.00 degrees
Space group F-43m (No. 216)
Asymmetric unit:
1 Tm 0.0000 0.0000 0.0000 (multiplicity 4)
2 Cd 0.2500 0.2500 0.2500 (multiplicity 4)
3 B 0.2500 0.2500 0.7500 (multiplicity 4)

Run C
TmCdB: relaxed, PBE.

Values from the calculation:
Its total magnetization is 0.0 μB per formula unit.

Cell lengths 4.0571, 4.0571, 3.8018 Å; angles 90.00, 90.00, 120.00 degrees
Space group P-6m2 (No. 187)
Asymmetric unit:
1 Tm 0.0000 0.0000 0.0000 (multiplicity 1)
2 Cd 0.6667 0.3333 0.5000 (multiplicity 1)
3 B 0.3333 0.6667 0.5000 (multiplicity 1)

Tell me which of them is the most stable. Sure, it is run A.

Run A
TmCdB4: relaxed, PBE.

Values from the calculation:
Its total magnetization is 0.0 μB per formula unit.

Cell lengths 3.1853, 5.3813, 7.9368 Å; angles 90.00, 90.00, 90.00 degrees
Space group Immm (No. 71)
Asymmetric unit:
1 Tm 0.0000 0.0000 0.0000 (multiplicity 2)
2 Cd 0.0000 0.0000 0.5000 (multiplicity 2)
3 B 0.0000 0.3245 0.2611 (multiplicity 8)

Run B
TmCdB4: relaxed, PBE.

Values from the calculation:
Its total magnetization is 0.0 μB per formula unit.

Cell lengths 3.2133, 3.2133, 7.5866 Å; angles 90.00, 90.00, 120.00 degrees
Space group P6/mmm (No. 191)
Asymmetric unit:
1 Tm 0.0000 0.0000 0.0000 (multiplicity 1)
2 Cd 0.0000 0.0000 0.5000 (multiplicity 1)
3 B 0.3333 0.6667 0.2422 (multiplicity 4)

Tell me which of them is the most stable. Sure, it is run A.

Run A
YCdB: relaxed, PBE.

Values from the calculation:
Its total magnetization is 0.0 μB per formula unit.

Cell lengths 6.1266, 6.1266, 6.1266 Å; angles 90.00, 90.00, 90.00 degrees
Space group F-43m (No. 216)
Asymmetric unit:
1 Y 0.0000 0.0000 0.0000 (multiplicity 4)
2 Cd 0.0000 0.0000 0.5000 (multiplicity 4)
3 B 0.2500 0.2500 0.7500 (multiplicity 4)

Run B
YCdB: relaxed, PBE.

Values from the calculation:
Its total magnetization is 0.0 μB per formula unit.

Cell lengths 6.4999, 6.4999, 6.4999 Å; angles 90.00, 90.00, 90.00 degrees
Space group F-43m (No. 216)
Asymmetric unit:
1 Y 0.0000 0.0000 0.0000 (multiplicity 4)
2 Cd 0.2500 0.2500 0.2500 (multiplicity 4)
3 B 0.2500 0.2500 0.7500 (multiplicity 4)

Tell me which of them is the most stable. Sure, it is run A.

Run A
CoB3: relaxed, PBE.

Values from the calculation:
Its total magnetization is 0.0 μB per formula unit.

Cell lengths 4.2758, 4.2758, 3.4198 Å; angles 90.00, 90.00, 120.00 degrees
Space group P6_3/mmc (No. 194)
Asymmetric unit:
1 Co 0.3333 0.6667 0.2500 (multiplicity 2)
2 B 0.1420 0.2839 0.7500 (multiplicity 6)

Run B
CoB3: relaxed, PBE.

Values from the calculation:
Its total magnetization is 0.0 μB per formula unit.

Cell lengths 2.9945, 2.9945, 2.9945 Å; angles 90.00, 90.00, 90.00 degrees
Space group Pm-3m (No. 221)
Asymmetric unit:
1 Co 0.0000 0.0000 0.0000 (multiplicity 1)
2 B 0.0000 0.5000 0.5000 (multiplicity 3)

Tell me which of them is the most stable. Sure, it is run A.

Run A
CoB3: relaxed, PBE.

Values from the calculation:
Its total magnetization is 0.0 μB per formula unit.

Cell lengths 4.7896, 4.7896, 4.7896 Å; angles 90.00, 90.00, 90.00 degrees
Space group Fm-3m (No. 225)
Asymmetric unit:
1 Co 0.0000 0.0000 0.0000 (multiplicity 4)
2 B 0.0000 0.0000 0.5000 (multiplicity 4)
3 B 0.2500 0.2500 0.2500 (multiplicity 8)

Run B
CoB3: relaxed, PBE.

Values from the calculation:
Its total magnetization is 0.0 μB per formula unit.

Cell lengths 2.9450, 2.9450, 6.1794 Å; angles 90.00, 90.00, 90.00 degrees
Space group I4/mmm (No. 139)
Asymmetric unit:
1 Co 0.0000 0.0000 0.0000 (multiplicity 2)
2 B 0.0000 0.0000 0.5000 (multiplicity 2)
3 B 0.0000 0.5000 0.2500 (multiplicity 4)

Tell me which of them is the most stable. Sure, it is run B.

Run A
LuCoCuB: relaxed, PBE.

Values from the calculation:
Its total magnetization is 1.1 μB per formula unit.

Cell lengths 5.9462, 5.9462, 5.9462 Å; angles 90.00, 90.00, 90.00 degrees
Space group F-43m (No. 216)
Asymmetric unit:
1 Lu 0.0000 0.0000 0.0000 (multiplicity 4)
2 Co 0.0000 0.0000 0.5000 (multiplicity 4)
3 Cu 0.2500 0.2500 0.7500 (multiplicity 4)
4 B 0.2500 0.2500 0.2500 (multiplicity 4)

Run B
LuCoCuB: relaxed, PBE.

Values from the calculation:
Its total magnetization is 0.3 μB per formula unit.

Cell lengths 5.8971, 5.8971, 5.8971 Å; angles 90.00, 90.00, 90.00 degrees
Space group F-43m (No. 216)
Asymmetric unit:
1 Lu 0.0000 0.0000 0.0000 (multiplicity 4)
2 Co 0.2500 0.2500 0.7500 (multiplicity 4)
3 Cu 0.2500 0.2500 0.2500 (multiplicity 4)
4 B 0.0000 0.0000 0.5000 (multiplicity 4)

Tell me which of them is the most stable. Sure, it is run A.

Run A
CoCuBOs: relaxed, PBE.

Values from the calculation:
Its total magnetization is 1.9 μB per formula unit.

Cell lengths 5.6027, 5.6027, 5.6027 Å; angles 90.00, 90.00, 90.00 degrees
Space group F-43m (No. 216)
Asymmetric unit:
1 Co 0.0000 0.0000 0.0000 (multiplicity 4)
2 Cu 0.2500 0.2500 0.7500 (multiplicity 4)
3 B 0.0000 0.0000 0.5000 (multiplicity 4)
4 Os 0.2500 0.2500 0.2500 (multiplicity 4)

Run B
CoCuBOs: relaxed, PBE.

Values from the calculation:
Its total magnetization is 1.0 μB per formula unit.

Cell lengths 5.5545, 5.5545, 5.5545 Å; angles 90.00, 90.00, 90.00 degrees
Space group F-43m (No. 216)
Asymmetric unit:
1 Co 0.0000 0.0000 0.0000 (multiplicity 4)
2 Cu 0.2500 0.2500 0.2500 (multiplicity 4)
3 B 0.2500 0.2500 0.7500 (multiplicity 4)
4 Os 0.0000 0.0000 0.5000 (multiplicity 4)

Tell me which of them is the most stable. Sure, it is run B.

Run A
CoCuReB: relaxed, PBE.

Values from the calculation:
Its total magnetization is 1.0 μB per formula unit.

Cell lengths 5.5810, 5.5810, 5.5810 Å; angles 90.00, 90.00, 90.00 degrees
Space group F-43m (No. 216)
Asymmetric unit:
1 Co 0.0000 0.0000 0.0000 (multiplicity 4)
2 Cu 0.2500 0.2500 0.7500 (multiplicity 4)
3 Re 0.2500 0.2500 0.2500 (multiplicity 4)
4 B 0.0000 0.0000 0.5000 (multiplicity 4)

Run B
CoCuReB: relaxed, PBE.

Values from the calculation:
Its total magnetization is 1.1 μB per formula unit.

Cell lengths 5.5691, 5.5691, 5.5691 Å; angles 90.00, 90.00, 90.00 degrees
Space group F-43m (No. 216)
Asymmetric unit:
1 Co 0.0000 0.0000 0.0000 (multiplicity 4)
2 Cu 0.2500 0.2500 0.2500 (multiplicity 4)
3 Re 0.0000 0.0000 0.5000 (multiplicity 4)
4 B 0.2500 0.2500 0.7500 (multiplicity 4)

Tell me which of them is the most stable. Sure, it is run A.